[1]
Computed, not measured: CsSr2Pt after structural relaxation at the PBE level of DFT.

Magnetization in μB per formula unit: 0.0
Space-group type: No. 122
Distance to the lowest polymorph of the same formula in kJ/mol of atoms: 0.0

Structure (extended XYZ):
```
8
Lattice="-1.270 8.982 -1.766 -6.911 -2.110 -5.762 -8.338 3.810 1.192" Properties=species:S:1:pos:R:3 pbc="T T T"
Pt -6.849 8.114 -2.169
Sr -7.695 5.931 -0.573
Cs -4.090 3.436 -3.764
Sr -8.127 10.484 -1.287
Sr -7.533 7.625 -4.875
Cs -9.669 2.568 -4.167
Pt 0.000 0.000 0.000
Sr -4.041 8.416 -1.942
```

=====

[2]
Computed, not measured: CsSrPt4 after structural relaxation at the PBE level of DFT.

Magnetization in μB per formula unit: 0.0
Space-group type: No. 216
Final energy in eV per atom: -4.843

Structure (extended XYZ):
```
6
Lattice="5.650 0.000 0.000 2.825 4.893 0.000 2.825 1.631 4.614" Properties=species:S:1:pos:R:3 pbc="T T T"
Pt 5.650 1.626 2.885
Cs 2.825 1.631 1.153
Sr 0.000 0.000 0.000
Pt 7.067 4.080 2.885
Pt 5.650 3.262 0.571
Pt 4.234 4.080 2.885
```

=====

[3]
Computed, not measured: CsSrPt2 after structural relaxation at the PBE level of DFT.

Magnetization in μB per formula unit: 0.0
Space-group type: No. 225
Final energy in eV per atom: -3.583

Structure (extended XYZ):
```
4
Lattice="-2.247 -0.235 4.923 -4.307 -3.169 0.863 0.496 -4.488 2.992" Properties=species:S:1:pos:R:3 pbc="T T T"
Pt -4.544 -5.919 6.583
Cs -3.029 -3.946 4.389
Sr 0.000 0.000 0.000
Pt -1.515 -1.973 2.194
```